CaRu | PBE | relaxed

abc: 4.4673 4.8906 8.6793
angles: 90.00 90.00 90.00
Space group Cmme (No. 67)
Asymmetric unit:
Ca  0.0000  0.2500  0.2004 [4 per cell]
Ru  0.0000  0.2500  0.5615 [4 per cell]

Output
The density of states at the Fermi level is 8.9 states/eV per cell. As for the spin magnetization: 0.00 μB per cell. The value obtained for the total energy is -10.81 eV per formula unit.